Record 1
Material: La2YCr
Method: DFT, SCAN
State: PBEsol geometry

Cell and atoms, written as extended XYZ:
```
4
Lattice="-2.173 -0.259 -2.641 1.200 -5.742 0.472 -3.781 2.403 4.656" Properties=species:S:1:pos:R:3 pbc="T T T"
La -2.378 -1.799 1.243
La -1.891 1.201 2.328
Cr 0.600 -2.871 0.236
Y -1.087 -0.130 -1.320
```

Summary:
- Calculated total energy: -131.3 eV for the cell shown
- E_form: 113.0 kJ/mol of formula units



Record 2
Material: LaY2Cr
Method: DFT, SCAN
State: PBEsol geometry

Cell and atoms, written as extended XYZ:
```
4
Lattice="3.662 0.000 0.000 0.000 5.374 0.000 -1.831 -2.687 5.492" Properties=species:S:1:pos:R:3 pbc="T T T"
La 1.831 2.687 3.181
Y 1.831 0.000 5.484
Y 0.000 0.000 2.311
Cr 1.831 0.000 0.008
```

Summary:
- ΔE to the lowest computed polymorph: 0.00 kJ/mol of atoms
- Calculated total energy: -116.8 eV for the cell shown
- E_form: 40.5 kJ/mol of formula units



Record 3
Material: LaY2Cr
Method: DFT, SCAN
State: PBEsol geometry

Cell and atoms, written as extended XYZ:
```
4
Lattice="-1.655 -4.040 -3.066 1.814 -4.938 0.886 -3.255 -3.716 2.013" Properties=species:S:1:pos:R:3 pbc="T T T"
Cr -1.547 -6.347 -0.084
La -0.774 -3.173 -0.042
Y -2.321 -9.520 -0.125
Y 0.000 0.000 0.000
```

Summary:
- ΔE to the lowest computed polymorph: 7.91 kJ/mol of atoms
- Calculated total energy: -116.4 eV for the cell shown
- E_form: 72.1 kJ/mol of formula units



Record 4
Material: LaY3Cr
Method: DFT, SCAN
State: PBEsol geometry

Cell and atoms, written as extended XYZ:
```
5
Lattice="5.460 0.000 0.000 0.000 5.460 0.000 0.000 0.000 5.460" Properties=species:S:1:pos:R:3 pbc="T T T"
Y 0.000 0.000 2.730
Y 2.730 0.000 0.000
Y 0.000 2.730 0.000
Cr 2.730 2.730 2.730
La 0.000 0.000 0.000
```

Summary:
- Calculated total energy: -139.9 eV for the cell shown
- E_form: 492.0 kJ/mol of formula units



Record 5
Material: LaZnCr2
Method: DFT, SCAN
State: PBEsol geometry

Cell and atoms, written as extended XYZ:
```
4
Lattice="3.355 0.000 0.000 0.000 5.054 0.000 -1.678 -2.527 4.502" Properties=species:S:1:pos:R:3 pbc="T T T"
Cr 1.678 2.527 2.007
Cr 0.000 0.000 2.495
Zn 0.000 2.527 0.000
La 1.678 0.000 0.000
```

Summary:
- Calculated total energy: -91.9 eV for the cell shown
- E_form: 144.5 kJ/mol of formula units



Record 6
Material: LaZn2Cr
Method: DFT, SCAN
State: PBEsol geometry

Cell and atoms, written as extended XYZ:
```
4
Lattice="3.210 0.000 0.000 0.000 3.214 0.000 0.000 0.000 7.238" Properties=species:S:1:pos:R:3 pbc="T T T"
Cr 0.000 0.000 3.185
Zn 0.000 0.000 0.442
Zn 1.605 1.607 1.882
La 1.605 1.607 5.348
```

Summary:
- Calculated total energy: -88.2 eV for the cell shown
- E_form: 27.5 kJ/mol of formula units



Record 7
Material: La2ZnCr
Method: DFT, SCAN
State: PBEsol geometry

Cell and atoms, written as extended XYZ:
```
4
Lattice="3.664 0.000 -0.023 0.000 4.699 0.000 -1.824 0.000 5.845" Properties=species:S:1:pos:R:3 pbc="T T T"
Zn -0.229 0.000 2.924
Cr -0.217 2.349 4.341
La 1.597 2.349 1.902
La 1.618 0.000 5.398
```

Summary:
- Calculated total energy: -118.3 eV for the cell shown
- E_form: -22.7 kJ/mol of formula units



Record 8
Material: LaZnCr2
Method: DFT, SCAN
State: PBEsol geometry

Cell and atoms, written as extended XYZ:
```
4
Lattice="2.832 -0.010 0.000 -1.205 2.562 0.000 0.000 0.000 9.079" Properties=species:S:1:pos:R:3 pbc="T T T"
Cr 0.813 1.276 7.299
Cr 0.000 0.000 8.853
Zn 0.813 1.276 1.870
La 0.000 0.000 4.676
```

Summary:
- Calculated total energy: -91.1 eV for the cell shown
- E_form: 221.2 kJ/mol of formula units



Record 9
Material: LaZn2Cr
Method: DFT, SCAN
State: PBEsol geometry

Cell and atoms, written as extended XYZ:
```
4
Lattice="-4.143 1.006 -2.226 -1.798 -3.070 -3.237 -3.958 -2.532 1.026" Properties=species:S:1:pos:R:3 pbc="T T T"
Cr -4.950 -2.298 -2.219
Zn 0.000 0.000 0.000
Zn -2.475 -1.149 -1.109
La -7.425 -3.447 -3.328
```

Summary:
- Calculated total energy: -88.7 eV for the cell shown
- E_form: -19.0 kJ/mol of formula units



Record 10
Material: LiCr
Method: DFT, SCAN
State: PBEsol geometry

Cell and atoms, written as extended XYZ:
```
6
Lattice="-2.392 -0.618 -0.478 1.198 -3.046 4.571 -1.719 4.822 2.372" Properties=species:S:1:pos:R:3 pbc="T T T"
Li -1.741 0.125 1.928
Li -1.070 2.545 2.064
Li -2.808 2.732 3.902
Cr -1.204 -3.365 3.757
Cr -1.107 0.670 4.678
Cr -0.523 -1.153 4.114
```

Summary:
- ΔE to the lowest computed polymorph: 2.49 kJ/mol of atoms
- Calculated total energy: -58.9 eV for the cell shown
- E_form: 109.6 kJ/mol of formula units



Record 11
Material: LiCr3
Method: DFT, SCAN
State: PBEsol geometry

Cell and atoms, written as extended XYZ:
```
4
Lattice="2.319 0.000 0.005 0.000 4.073 0.000 -0.705 0.000 4.737" Properties=species:S:1:pos:R:3 pbc="T T T"
Cr 0.440 0.000 1.230
Cr -0.352 2.036 2.369
Cr 1.175 0.000 3.512
Li 1.160 2.036 0.002
```

Summary:
- Calculated total energy: -55.9 eV for the cell shown
- E_form: 160.0 kJ/mol of formula units



Record 12
Material: LiCr
Method: DFT, SCAN
State: PBEsol geometry

Cell and atoms, written as extended XYZ:
```
2
Lattice="-1.804 -2.111 -0.073 1.445 -1.304 1.982 -2.381 1.931 3.006" Properties=species:S:1:pos:R:3 pbc="T T T"
Cr 0.000 0.000 0.000
Li -1.370 -0.742 2.457
```

Summary:
- ΔE to the lowest computed polymorph: 0.00 kJ/mol of atoms
- Calculated total energy: -19.7 eV for the cell shown
- E_form: 104.6 kJ/mol of formula units



Record 13
Material: Li3Cr2
Method: DFT, SCAN
State: PBEsol geometry

Cell and atoms, written as extended XYZ:
```
5
Lattice="-2.482 -1.186 2.758 0.271 -1.966 -3.353 4.279 -3.449 2.368" Properties=species:S:1:pos:R:3 pbc="T T T"
Cr 3.318 -4.902 0.878
Cr -1.250 -1.700 0.895
Li 0.882 -2.938 -0.470
Li 1.186 -3.663 2.243
Li 0.000 0.000 0.000
```

Summary:
- Calculated total energy: -39.1 eV for the cell shown
- E_form: 471.5 kJ/mol of formula units



Record 14
Material: Li2Cr
Method: DFT, SCAN
State: PBEsol geometry

Cell and atoms, written as extended XYZ:
```
3
Lattice="-0.729 -1.171 2.094 2.418 0.573 -0.340 -1.068 6.415 3.217" Properties=species:S:1:pos:R:3 pbc="T T T"
Cr 0.000 0.000 0.000
Li -0.406 3.776 3.472
Li 1.028 2.041 1.499
```

Summary:
- Calculated total energy: -21.8 eV for the cell shown
- E_form: 135.1 kJ/mol of formula units



Record 15
Material: Li2MgCr
Method: DFT, SCAN
State: PBEsol geometry

Cell and atoms, written as extended XYZ:
```
4
Lattice="4.125 0.000 0.000 0.000 4.125 0.000 -2.063 -2.063 4.258" Properties=species:S:1:pos:R:3 pbc="T T T"
Cr 0.000 0.000 0.000
Mg 2.063 2.063 0.000
Li 0.000 2.063 2.129
Li 2.063 0.000 2.129
```

Summary:
- Calculated total energy: -27.5 eV for the cell shown
- E_form: 60.3 kJ/mol of formula units



Record 16
Material: Li2MgCr
Method: DFT, SCAN
State: PBEsol geometry

Cell and atoms, written as extended XYZ:
```
4
Lattice="-2.874 0.940 -0.048 -1.545 -4.710 0.224 1.805 0.900 4.827" Properties=species:S:1:pos:R:3 pbc="T T T"
Cr -0.773 -2.355 0.112
Li -0.216 -0.533 2.494
Li -2.398 -2.336 2.508
Mg -1.437 0.470 -0.024
```

Summary:
- Calculated total energy: -27.6 eV for the cell shown
- E_form: 54.8 kJ/mol of formula units



Number 1: V 28.05 A^3/atom. Number 2: V 27.03 A^3/atom. Number 3: V 26.83 A^3/atom. Number 4: V 32.55 A^3/atom. Number 5: V 19.09 A^3/atom. Number 6: V 18.67 A^3/atom. Number 7: V 25.10 A^3/atom. Number 8: V 16.44 A^3/atom. Number 9: V 19.67 A^3/atom. Number 10: V 12.73 A^3/atom. Number 11: V 11.19 A^3/atom. Number 12: V 16.56 A^3/atom. Number 13: V 15.73 A^3/atom. Number 14: V 13.17 A^3/atom. Number 15: V 18.11 A^3/atom. Number 16: V 18.24 A^3/atom.